Entry from Alexandria: a relaxed SrZrAg2I crystal (PBE).

Results
For the magnetic moment, the calculation gives 2.59 Bohr magnetons per cell. The calculation puts the calculated volume at 39.77 Å³/atom. The space-group type is P4/mmm. The final energy is -14.6 eV/cell.

The structure in extended XYZ format:
```
5
Lattice="-1.6856 4.1298 2.8902 -2.0366 -3.3457 3.5928 6.1062 0.0424 3.5007" Properties=species:S:1:pos:R:3 pbc="T T T"
Sr 3.0531 0.0212 1.7504
I 1.1920 0.4132 4.9919
Ag -1.0183 -1.6728 1.7964
Ag -0.8428 2.0649 1.4451
Zr 0.0000 0.0000 0.0000
```